! GGA-PBE ThMgAl2Ag5, optimized geometry; values from VASP
! Total energy: -30.470 eV per cell
! Energy relative to the elements: 0.032 eV per atom
&SYSTEM
  ibrav = 0, nat = 9, ntyp = 4
/
ATOMIC_SPECIES
Th 232.04 Th.upf
Mg 24.30 Mg.upf
Al 26.98 Al.upf
Ag 107.87 Ag.upf
CELL_PARAMETERS angstrom
4.922 0.000 0.000
0.000 4.922 0.000
0.000 0.000 7.871
ATOMIC_POSITIONS crystal
Th 0.000 0.000 0.000
Mg 0.000 0.000 0.500
Al 0.500 0.500 0.339
Al 0.500 0.500 0.661
Ag 0.000 0.500 0.243
Ag 0.000 0.500 0.757
Ag 0.500 0.000 0.243
Ag 0.500 0.000 0.757
Ag 0.500 0.500 0.000